The following is a GGA-PBE calculation of a relaxed AlSe2Cl crystal, from Alexandria via LeMat-Bulk.

a b c (Å): 12.6696 12.6696 12.6696
angles (deg): 12.86 12.86 12.86
Fractional coordinates of all 4 atoms:
Al: 0.0000 0.0000 0.0000
Se: 0.9296 0.9296 0.9296
Se: 0.0704 0.0704 0.0704
Cl: 0.5000 0.5000 0.5000

formation energy from raw total energies: 0.61 eV/f.u.
magnetic moment: 0.00 μB per cell
energy: -11.95 eV/cell